#i
Here is a relaxed structure of Mn3AlIr from Alexandria via LeMat-Bulk. Energies are from GGA-PBE.

Summary:
The density of states at the Fermi level comes out at 3.9 states/eV/cell. As for the density: 5684 kg/m³. The volume is 112.19 Å³ per cell. As for the space-group type: No. 221.

Unit cell a=4.823 b=4.823 c=4.823 alpha=90.00 beta=90.00 gamma=90.00
Fractional coordinates of all 5 atoms:
1 Al 0.500 0.500 0.500
2 Mn 0.500 0.000 0.000
3 Mn 0.000 0.500 0.000
4 Ir 0.000 0.000 0.000
5 Mn 0.000 0.000 0.500


#ii
Here is a relaxed structure of Mn3AlIr from Alexandria via LeMat-Bulk. Energies are from GGA-PBE.

Summary:
The density of states at the Fermi level comes out at 6.0 states/eV/cell. As for the density: 7526 kg/m³. The volume is 84.73 Å³ per cell. As for the space-group type: No. 221.

Unit cell a=4.392 b=4.392 c=4.392 alpha=90.00 beta=90.00 gamma=90.00
Fractional coordinates of all 5 atoms:
1 Mn 0.500 0.000 0.000
2 Ir 0.500 0.500 0.500
3 Mn 0.000 0.000 0.500
4 Mn 0.000 0.500 0.000
5 Al 0.000 0.000 0.000


Which is most stable? The ranking, best first, is #i, #ii.


#i
Here is a relaxed structure of Al2MoIr from Alexandria via LeMat-Bulk. Energies are from GGA-PBE.

Summary:
The density of states at the Fermi level comes out at 2.1 states/eV/cell. As for the density: 9245 kg/m³. The volume is 61.45 Å³ per cell. As for the space-group type: No. 160.

Unit cell a=8.888 b=8.888 c=8.888 alpha=18.45 beta=18.45 gamma=18.45
Fractional coordinates of all 4 atoms:
1 Al 0.001 0.001 0.001
2 Ir 0.501 0.501 0.501
3 Mo 0.752 0.752 0.752
4 Al 0.246 0.246 0.246


#ii
Here is a relaxed structure of Al2MoIr from Alexandria via LeMat-Bulk. Energies are from GGA-PBE.

Summary:
The density of states at the Fermi level comes out at 2.6 states/eV/cell. As for the density: 9517 kg/m³. The volume is 59.69 Å³ per cell. As for the space-group type: No. 12.

Unit cell a=5.194 b=5.024 c=2.777 alpha=77.11 beta=84.08 gamma=119.24
Fractional coordinates of all 4 atoms:
1 Al 0.500 0.000 0.500
2 Ir 0.000 0.500 0.500
3 Al 0.000 0.000 0.000
4 Mo 0.500 0.500 0.000


Which is most stable? The ranking, best first, is #ii, #i.


#i
Here is a relaxed structure of Al2MoIr from Alexandria via LeMat-Bulk. Energies are from GGA-PBE.

Summary:
The density of states at the Fermi level comes out at 4.3 states/eV/cell. As for the density: 9586 kg/m³. The volume is 59.26 Å³ per cell. As for the space-group type: No. 119.

Unit cell a=4.984 b=4.984 c=4.984 alpha=135.84 beta=135.84 gamma=64.22
Fractional coordinates of all 4 atoms:
1 Ir 0.500 0.500 0.000
2 Al 0.000 0.000 0.000
3 Al 0.250 0.750 0.500
4 Mo 0.750 0.250 0.500


#ii
Here is a relaxed structure of Al2MoIr from Alexandria via LeMat-Bulk. Energies are from GGA-PBE.

Summary:
The density of states at the Fermi level comes out at 3.0 states/eV/cell. As for the density: 9360 kg/m³. The volume is 60.69 Å³ per cell. As for the space-group type: No. 71.

Unit cell a=5.216 b=5.216 c=5.216 alpha=148.38 beta=124.41 gamma=65.38
Fractional coordinates of all 4 atoms:
1 Ir 0.250 0.750 0.500
2 Al 0.488 0.488 0.000
3 Al 0.012 0.012 0.000
4 Mo 0.750 0.250 0.500


#iii
Here is a relaxed structure of Al2MoIr from Alexandria via LeMat-Bulk. Energies are from GGA-PBE.

Summary:
The density of states at the Fermi level comes out at 2.4 states/eV/cell. As for the density: 9435 kg/m³. The volume is 60.21 Å³ per cell. As for the space-group type: No. 47.

Unit cell a=2.905 b=4.839 c=4.284 alpha=90.00 beta=90.00 gamma=90.00
Fractional coordinates of all 4 atoms:
1 Ir 0.500 0.000 0.500
2 Mo 0.000 0.500 0.500
3 Al 0.000 0.000 0.000
4 Al 0.500 0.500 0.000


#iv
Here is a relaxed structure of Al2MoIr from Alexandria via LeMat-Bulk. Energies are from GGA-PBE.

Summary:
The density of states at the Fermi level comes out at 2.3 states/eV/cell. As for the density: 9539 kg/m³. The volume is 59.56 Å³ per cell. As for the space-group type: No. 44.

Unit cell a=5.355 b=5.355 c=5.355 alpha=147.87 beta=132.68 gamma=58.35
Fractional coordinates of all 4 atoms:
1 Mo 0.740 0.240 0.500
2 Ir 0.498 0.498 0.000
3 Al 0.269 0.769 0.500
4 Al 0.993 0.993 0.000


Which is most stable? The ranking, best first, is #iv, #i, #ii, #iii.


#i
Here is a relaxed structure of Al2MoIr from Alexandria via LeMat-Bulk. Energies are from GGA-PBE.

Summary:
The density of states at the Fermi level comes out at 4.8 states/eV/cell. As for the density: 9870 kg/m³. The volume is 57.56 Å³ per cell. As for the space-group type: No. 225.

Unit cell a=4.334 b=4.334 c=4.334 alpha=60.00 beta=60.00 gamma=60.00
Fractional coordinates of all 4 atoms:
1 Ir 0.500 0.500 0.500
2 Al 0.250 0.250 0.250
3 Mo 0.000 0.000 0.000
4 Al 0.750 0.750 0.750


#ii
Here is a relaxed structure of Al2MoIr from Alexandria via LeMat-Bulk. Energies are from GGA-PBE.

Summary:
The density of states at the Fermi level comes out at 2.3 states/eV/cell. As for the density: 9807 kg/m³. The volume is 57.93 Å³ per cell. As for the space-group type: No. 123.

Unit cell a=2.948 b=2.949 c=6.664 alpha=90.00 beta=90.00 gamma=90.00
Fractional coordinates of all 4 atoms:
1 Al 0.000 0.000 0.018
2 Al 0.000 0.000 0.482
3 Ir 0.500 0.500 0.250
4 Mo 0.500 0.500 0.750


#iii
Here is a relaxed structure of Al2MoIr from Alexandria via LeMat-Bulk. Energies are from GGA-PBE.

Summary:
The density of states at the Fermi level comes out at 7.3 states/eV/cell. As for the density: 8702 kg/m³. The volume is 130.56 Å³ per cell. As for the space-group type: No. 122.

Unit cell a=6.965 b=6.965 c=5.612 alpha=51.65 beta=51.65 gamma=90.00
Fractional coordinates of all 8 atoms:
1 Al 0.100 0.625 0.250
2 Al 0.875 0.900 0.750
3 Mo 0.500 0.500 0.000
4 Al 0.650 0.125 0.250
5 Ir 0.000 0.000 0.000
6 Mo 0.250 0.750 0.500
7 Ir 0.750 0.250 0.500
8 Al 0.375 0.350 0.750


#iv
Here is a relaxed structure of Al2MoIr from Alexandria via LeMat-Bulk. Energies are from GGA-PBE.

Summary:
The density of states at the Fermi level comes out at 2.8 states/eV/cell. As for the density: 9456 kg/m³. The volume is 60.08 Å³ per cell. As for the space-group type: No. 10.

Unit cell a=4.116 b=2.807 c=5.228 alpha=84.16 beta=90.00 gamma=90.00
Fractional coordinates of all 4 atoms:
1 Al 0.000 0.423 0.498
2 Ir 0.500 0.250 0.250
3 Mo 0.500 0.750 0.750
4 Al 0.000 0.077 0.002


Which is most stable? The ranking, best first, is #ii, #i, #iv, #iii.